#w
Here is crystalline Hf2TcH at its relaxed geometry from the Alexandria database. Energies are from PBE.

Properties
N(E_F)   4.3 states/eV/f.u.
Total moment   0.0 μB per formula unit

```
Hf2TcH
1.0
-1.100 -2.421 -1.654
0.747 -1.940 2.342
-5.831 0.881 2.589
Hf Tc H
2 1 1
Direct
0.000 0.000 0.755 Hf
0.000 0.000 0.245 Hf
0.500 0.500 0.500 Tc
0.500 0.500 0.000 H
```

#x
Here is crystalline Hf2TcH at its relaxed geometry from the Alexandria database. Energies are from PBE.

Properties
N(E_F)   3.3 states/eV/f.u.
Total moment   0.0 μB per formula unit

```
Hf2TcH
1.0
-3.956 -1.581 1.432
-3.003 2.792 1.840
-3.768 1.029 -2.223
Hf H Tc
2 1 1
Direct
0.250 0.250 0.250 Hf
0.750 0.750 0.750 Hf
0.000 0.000 0.000 H
0.500 0.500 0.500 Tc
```

#y
Here is crystalline Hf2TcH at its relaxed geometry from the Alexandria database. Energies are from PBE.

Properties
N(E_F)   2.6 states/eV/f.u.
Total moment   0.0 μB per formula unit

```
Hf2TcH
1.0
3.222 0.000 0.000
1.611 2.790 0.000
1.611 0.930 6.699
H Hf Tc
1 2 1
Direct
0.000 0.000 0.000 H
0.735 0.735 0.795 Hf
0.265 0.265 0.205 Hf
0.500 0.500 0.500 Tc
```

#z
Here is crystalline Hf2TcH at its relaxed geometry from the Alexandria database. Energies are from PBE.

Properties
N(E_F)   1.3 states/eV/f.u.
Total moment   0.0 μB per formula unit

```
Hf2TcH
1.0
-5.956 -0.019 1.664
1.664 -0.146 5.955
-2.135 3.158 3.885
H Hf Tc
2 4 2
Direct
0.250 0.750 0.500 H
0.500 0.500 0.000 H
0.375 0.452 0.750 Hf
0.875 0.798 0.750 Hf
0.548 0.125 0.250 Hf
0.202 0.625 0.250 Hf
0.750 0.250 0.500 Tc
0.000 0.000 0.000 Tc
```

The structure with the least stability is #x.

#w
Here is crystalline HfTc2H at its relaxed geometry from the Alexandria database. Energies are from PBE.

Properties
N(E_F)   2.2 states/eV/f.u.
Total moment   0.0 μB per formula unit

```
HfTc2H
1.0
5.434 0.000 0.000
0.000 5.434 0.000
2.717 2.717 3.843
Tc Hf H
4 2 2
Direct
0.375 0.625 0.750 Tc
0.875 0.625 0.750 Tc
0.375 0.125 0.250 Tc
0.375 0.625 0.250 Tc
0.000 0.000 0.000 Hf
0.750 0.250 0.500 Hf
0.250 0.750 0.500 H
0.500 0.500 0.000 H
```

#x
Here is crystalline HfTc2H at its relaxed geometry from the Alexandria database. Energies are from PBE.

Properties
N(E_F)   4.1 states/eV/f.u.
Total moment   0.0 μB per formula unit

```
HfTc2H
1.0
0.000 3.071 3.071
3.071 0.000 3.071
3.071 3.071 0.000
Hf Tc H
1 2 1
Direct
0.500 0.500 0.500 Hf
0.750 0.750 0.750 Tc
0.250 0.250 0.250 Tc
0.000 0.000 0.000 H
```

The structure with the least stability is #x.

#w
Here is crystalline HfZnTc2H at its relaxed geometry from the Alexandria database. Energies are from PBE.

Properties
N(E_F)   4.4 states/eV/f.u.
Total moment   0.0 μB per formula unit

```
HfZnTc2H
1.0
-3.623 -0.937 -1.428
-0.138 -3.177 2.435
-1.739 2.301 2.904
H Tc Hf Zn
1 2 1 1
Direct
0.000 0.000 0.000 H
0.500 0.000 0.000 Tc
0.000 0.500 0.000 Tc
0.000 0.000 0.500 Hf
0.500 0.500 0.500 Zn
```

#x
Here is crystalline HfZnTc2H at its relaxed geometry from the Alexandria database. Energies are from PBE.

Properties
N(E_F)   4.6 states/eV/f.u.
Total moment   0.0 μB per formula unit

```
HfZnTc2H
1.0
4.082 0.000 0.000
0.000 4.082 0.000
0.000 0.000 3.915
Tc H Zn Hf
2 1 1 1
Direct
0.000 0.500 0.000 Tc
0.500 0.000 0.000 Tc
0.000 0.000 0.000 H
0.000 0.000 0.500 Zn
0.500 0.500 0.500 Hf
```

The structure with the least stability is #x.

#w
Here is crystalline Hf2TeH2 at its relaxed geometry from the Alexandria database. Energies are from PBE.

Properties
N(E_F)   4.2 states/eV/f.u.
Total moment   0.0 μB per formula unit

```
Hf2TeH2
1.0
7.403 0.000 0.000
0.000 7.403 0.000
0.000 0.000 3.056
H Hf Te
4 4 2
Direct
0.093 0.593 0.500 H
0.593 0.907 0.500 H
0.407 0.093 0.500 H
0.907 0.407 0.500 H
0.635 0.135 0.000 Hf
0.865 0.635 0.000 Hf
0.365 0.865 0.000 Hf
0.135 0.365 0.000 Hf
0.500 0.500 0.000 Te
0.000 0.000 0.000 Te
```

#x
Here is crystalline Hf2TeH2 at its relaxed geometry from the Alexandria database. Energies are from PBE.

Properties
N(E_F)   3.9 states/eV/f.u.
Total moment   0.0 μB per formula unit

```
Hf2TeH2
1.0
4.149 0.000 0.000
0.000 4.196 -0.020
0.000 -2.079 5.112
H Hf Te
2 2 1
Direct
0.700 0.716 0.433 H
0.200 0.296 0.593 H
0.700 0.228 0.457 Hf
0.200 0.736 0.471 Hf
0.200 0.023 0.046 Te
```

#y
Here is crystalline Hf2TeH2 at its relaxed geometry from the Alexandria database. Energies are from PBE.

Properties
N(E_F)   1.3 states/eV/f.u.
Total moment   0.0 μB per formula unit

```
Hf2TeH2
1.0
-0.341 1.701 2.939
-3.374 0.161 -0.485
-2.535 -4.327 4.192
Te H Hf
1 2 2
Direct
0.000 0.000 0.000 Te
0.250 0.750 0.500 H
0.750 0.250 0.500 H
0.645 0.645 0.711 Hf
0.355 0.355 0.289 Hf
```

The structure with the least stability is #w.

#w
Here is crystalline HfTeH3 at its relaxed geometry from the Alexandria database. Energies are from PBE.

Properties
N(E_F)   2.6 states/eV/f.u.
Total moment   0.0 μB per formula unit

```
HfTeH3
1.0
-0.174 -2.447 -3.021
3.673 0.887 -0.930
1.273 -2.893 2.270
Te H Hf
1 3 1
Direct
0.500 0.500 0.500 Te
0.000 0.000 0.500 H
0.500 0.000 0.000 H
0.000 0.500 0.000 H
0.000 0.000 0.000 Hf
```

#x
Here is crystalline HfTeH3 at its relaxed geometry from the Alexandria database. Energies are from PBE.

Properties
N(E_F)   3.0 states/eV/f.u.
Total moment   0.8 μB per formula unit

```
HfTeH3
1.0
3.950 0.000 0.000
0.000 3.950 0.000
0.000 0.000 3.950
H Hf Te
3 1 1
Direct
0.000 0.500 0.000 H
0.000 0.000 0.500 H
0.500 0.000 0.000 H
0.500 0.500 0.500 Hf
0.000 0.000 0.000 Te
```

The structure with the least stability is #x.

#w
Here is crystalline HfTe2H at its relaxed geometry from the Alexandria database. Energies are from PBE.

Properties
N(E_F)   1.7 states/eV/f.u.
Total moment   0.0 μB per formula unit

```
HfTe2H
1.0
7.772 -0.001 -0.001
6.736 3.877 -0.001
6.736 1.799 3.434
H Te Hf
1 2 1
Direct
0.000 0.000 0.000 H
0.089 0.089 0.089 Te
0.911 0.911 0.911 Te
0.500 0.500 0.500 Hf
```

#x
Here is crystalline HfTe2H at its relaxed geometry from the Alexandria database. Energies are from PBE.

Properties
N(E_F)   0.7 states/eV/f.u.
Total moment   0.0 μB per formula unit

```
HfTe2H
1.0
0.503 -3.600 -1.112
2.238 -1.288 -2.790
6.931 -2.287 4.017
H Hf Te
1 1 2
Direct
0.459 0.459 0.625 H
0.804 0.804 0.625 Hf
0.037 0.037 0.886 Te
0.199 0.199 0.364 Te
```

The structure with the least stability is #w.